Computed, not measured: a crystal of CaSc2Sb relaxed with PBEsol at the SCAN level of DFT.

Its raw formation energy is -0.2098 eV/atom. For the total energy, the calculation gives -304.951 eV for the cell shown.

The structure belongs to space group F-43m (No. 216); the cell edges are 7.258, 7.258 and 7.258 Å and the angles 90.00°, 90.00° and 90.00°. The distinct sites, in fractional coordinates, are Ca at (0.000, 0.000, 0.000), Sc at (0.000, 0.000, 0.500), Sc at (0.250, 0.250, 0.250) and Sb at (0.250, 0.250, 0.750).